Entry 1:
Computed, not measured: a relaxed CoCu2Au crystal at the PBE-GGA level of DFT.

Properties
DOS(E_F), states/eV per cell: 4.1
Volume, Å³ per cell: 53.6
Formation energy from the elements, eV/atom: 0.15

Cell lengths 2.7021, 3.5940, 5.5195 Å; angles 90.00, 90.19, 90.00 degrees
Space group Pm (No. 6)
One atom of each set of equivalent atoms:
Co 0.0000 0.0000 0.0000
Cu 0.4999 0.5000 0.2255
Cu 0.9987 0.0000 0.4553
Au 0.4989 0.5000 0.7312



Entry 2:
Computed, not measured: a relaxed Re2GeAuI crystal at the PBE-GGA level of DFT.

Properties
DOS(E_F), states/eV per cell: 4.2
Energy relative to the elements, uncorrected, eV/atom: 2.037
Volume, Å³ per cell: 127.1

Cell lengths 4.7471, 4.7471, 5.6407 Å; angles 90.00, 90.00, 90.00 degrees
Space group P4/mmm (No. 123)
One atom of each set of equivalent atoms:
Re 0.0000 0.5000 0.0000
Ge 0.0000 0.0000 0.0000
Au 0.5000 0.5000 0.5000
I 0.0000 0.0000 0.5000



Entry 3:
Computed, not measured: a relaxed CeDyHo2Sb4 crystal at the PBE-GGA level of DFT.

Properties
DOS(E_F), states/eV per cell: 7.6
Energy relative to the elements, uncorrected, eV/atom: -1.100
Volume, Å³ per cell: 241.7

Cell lengths 7.6252, 4.4052, 7.6280 Å; angles 90.00, 109.41, 90.00 degrees
Space group P2/m (No. 10)
One atom of each set of equivalent atoms:
Ce 0.0000 0.0000 0.0000
Dy 0.0000 0.5000 0.5000
Ho 0.5000 0.0000 0.5000
Ho 0.5000 0.5000 0.0000
Sb 0.2527 0.0000 0.7488
Sb 0.2551 0.5000 0.2544



Entry 4:
Computed, not measured: a relaxed HfCr3 crystal at the PBE-GGA level of DFT.

Properties
DOS(E_F), states/eV per cell: 16.0
Volume, Å³ per cell: 343.6
Formation energy from the elements, eV/atom: -0.01

Cell lengths 8.6849, 5.0139, 8.4074 Å; angles 90.00, 110.21, 90.00 degrees
Space group C2/m (No. 12)
One atom of each set of equivalent atoms:
Hf 0.0000 0.0000 0.0000
Hf 0.1436 0.0000 0.4309
Cr 0.0000 0.5000 0.5000
Cr 0.0836 0.5000 0.2477
Cr 0.1675 0.5000 0.0023
Cr 0.1681 0.2485 0.7523



Entry 5:
Computed, not measured: a relaxed LiAl crystal at the PBE-GGA level of DFT.

Properties
DOS(E_F), states/eV per cell: 3.3
Volume, Å³ per cell: 236.9
Formation energy from the elements, eV/atom: -0.09

Cell lengths 7.9625, 7.9625, 4.3148 Å; angles 90.00, 90.00, 120.00 degrees
Space group P6_3/mmc (No. 194)
One atom of each set of equivalent atoms:
Li 0.1670 0.3341 0.2500
Al 0.1106 0.5553 0.7500



Entry 6:
Computed, not measured: a relaxed Ca3AlSi crystal at the PBE-GGA level of DFT.

Properties
DOS(E_F), states/eV per cell: 5.2
Energy relative to the elements, uncorrected, eV/atom: 0.034
Volume, Å³ per cell: 176.7

Cell lengths 5.6111, 5.6111, 5.6111 Å; angles 90.00, 90.00, 90.00 degrees
Space group Pm-3m (No. 221)
One atom of each set of equivalent atoms:
Ca 0.0000 0.0000 0.5000
Al 0.5000 0.5000 0.5000
Si 0.0000 0.0000 0.0000



Entry 7:
Computed, not measured: a relaxed Co2PBr crystal at the PBE-GGA level of DFT.

Properties
DOS(E_F), states/eV per cell: 10.9
Energy relative to the elements, uncorrected, eV/atom: 0.295
Volume, Å³ per cell: 157.0

Cell lengths 3.2948, 6.6153, 7.2033 Å; angles 90.00, 90.00, 90.00 degrees
Space group Immm (No. 71)
One atom of each set of equivalent atoms:
Co 0.0000 0.1933 0.0000
P 0.0000 0.5000 0.5000
Br 0.0000 0.0000 0.5000



Entry 8:
Computed, not measured: a relaxed AlFeTc3 crystal at the PBE-GGA level of DFT.

Properties
DOS(E_F), states/eV per cell: 6.1
Volume, Å³ per cell: 84.4
Formation energy from the elements, eV/atom: 1.08

Cell lengths 4.3873, 4.3873, 4.3873 Å; angles 90.00, 90.00, 90.00 degrees
Space group Pm-3m (No. 221)
One atom of each set of equivalent atoms:
Al 0.0000 0.0000 0.0000
Fe 0.5000 0.5000 0.5000
Tc 0.0000 0.5000 0.5000



Entry 9:
Computed, not measured: a relaxed DyHgRh crystal at the PBE-GGA level of DFT.

Properties
DOS(E_F), states/eV per cell: 5.4
Volume, Å³ per cell: 284.8
Formation energy from the elements, eV/atom: -0.49

Cell lengths 6.5792, 6.5792, 6.5792 Å; angles 90.00, 90.00, 90.00 degrees
Space group F-43m (No. 216)
One atom of each set of equivalent atoms:
Dy 0.0000 0.0000 0.0000
Hg 0.0000 0.0000 0.5000
Rh 0.2500 0.2500 0.2500



volume of number 7 (Co2PBr)?
157.0 Å³ per cell



Which formula does entry 4 have?
HfCr3